(1)
5
Lattice="5.539 0.000 0.000 0.000 5.539 0.000 0.000 0.000 5.539" Properties=species:S:1:pos:R:3 comment="ZrSn3Ge PBE relaxed" relative_energy_mev_per_atom=0 e_form_ev_per_atom=0.588 volume_a3_per_atom=33.98 e_tot_ev_per_atom=-4.447 pbc="T T T"
Zr 0.000 0.000 0.000
Sn 0.000 0.000 2.769
Sn 0.000 2.769 0.000
Sn 2.769 0.000 0.000
Ge 2.769 2.769 2.769

(2)
10
Lattice="6.005 0.000 0.000 -3.003 5.201 0.000 0.000 0.000 9.624" Properties=species:S:1:pos:R:3 comment="In6HgPb3 PBE relaxed" relative_energy_mev_per_atom=21 e_form_ev_per_atom=0.068 volume_a3_per_atom=30.06 e_tot_ev_per_atom=-2.717 pbc="T T T"
In -1.125 1.949 2.886
In -1.877 3.252 6.738
In 2.251 0.000 2.886
In 1.125 1.949 6.738
In 3.755 0.000 6.738
In 1.877 3.252 2.886
Hg 0.000 0.000 4.812
Pb 0.000 0.000 0.000
Pb 0.000 3.467 0.000
Pb 3.003 1.734 0.000

(3)
9
Lattice="6.188 -2.421 0.000 6.188 2.421 0.000 -3.558 0.000 7.790" Properties=species:S:1:pos:R:3 comment="Ta2AlSe6 PBE relaxed" formation_energy_uncorrected_kj_per_mol_atoms=-44.7 volume_a3_per_atom=25.93 e_tot_ev_per_atom=-5.836 pbc="T T T"
Ta 1.805 0.000 1.110
Ta 7.013 0.000 6.680
Al -1.779 0.000 3.895
Se -0.604 0.000 1.585
Se 0.484 0.000 7.386
Se 2.841 0.000 3.288
Se 5.977 0.000 4.502
Se 8.334 0.000 0.404
Se 9.422 0.000 6.206

(4)
14
Lattice="4.504 -4.686 0.000 4.504 4.686 0.000 0.000 0.000 6.440" Properties=species:S:1:pos:R:3 comment="Pu3MnRu3 PBE relaxed" e_form_ev_per_atom=-0.036 volume_a3_per_atom=19.42 e_tot_ev_per_atom=-11.464 pbc="T T T"
Pu 2.025 0.000 3.220
Pu 2.101 0.000 0.000
Pu 4.504 2.378 0.000
Pu 4.504 -2.378 0.000
Pu 6.906 0.000 0.000
Pu 6.983 0.000 3.220
Mn 4.504 2.183 3.220
Mn 4.504 -2.183 3.220
Ru 2.252 2.343 1.695
Ru 2.252 2.343 4.745
Ru 2.252 -2.343 1.695
Ru 2.252 -2.343 4.745
Ru 4.504 0.000 1.605
Ru 4.504 0.000 4.834

(5)
18
Lattice="6.348 -7.068 0.000 6.348 7.068 0.000 -1.586 0.000 6.310" Properties=species:S:1:pos:R:3 comment="Sm2YTm6 PBE relaxed" e_form_ev_per_atom=0.108 volume_a3_per_atom=31.46 e_tot_ev_per_atom=-4.640 pbc="T T T"
Sm 1.227 0.354 2.351
Sm 0.434 -0.354 5.506
Sm 10.676 0.354 0.804
Sm 9.883 -0.354 3.959
Y 5.158 1.667 4.733
Y 5.951 -1.667 1.578
Tm 1.874 2.841 4.604
Tm 4.297 4.425 6.287
Tm 6.019 4.425 3.179
Tm 4.366 1.279 1.168
Tm 2.667 -2.841 1.449
Tm 3.573 -1.279 4.324
Tm 7.536 1.279 1.987
Tm 8.442 2.841 4.861
Tm 6.744 -1.279 5.142
Tm 5.090 -4.425 3.131
Tm 6.812 -4.425 0.024
Tm 9.235 -2.841 1.706

(6)
6
Lattice="0.000 3.742 3.742 3.742 0.000 3.742 3.742 3.742 0.000" Properties=species:S:1:pos:R:3 comment="UPt5 PBE relaxed" e_form_ev_per_atom=-0.563 volume_a3_per_atom=17.47 e_tot_ev_per_atom=-7.479 pbc="T T T"
U 0.000 0.000 0.000
Pt 2.809 2.809 2.809
Pt 4.675 4.675 2.809
Pt 4.675 2.809 4.675
Pt 5.613 5.613 5.613
Pt 2.809 4.675 4.675

(7)
4
Lattice="-1.990 1.990 4.494 1.990 -1.990 4.494 1.990 1.990 -4.494" Properties=species:S:1:pos:R:3 comment="AgSbW2 PBE relaxed" formation_energy_uncorrected_kj_per_mol_atoms=82.2 volume_a3_per_atom=17.80 e_tot_ev_per_atom=-7.368 pbc="T T T"
Ag 0.000 0.000 0.000
Sb 0.000 0.000 4.494
W 1.990 0.000 2.247
W 0.000 1.990 2.247

(8)
9
Lattice="4.639 -2.680 0.000 4.639 2.680 0.000 -0.010 0.000 6.397" Properties=species:S:1:pos:R:3 comment="Mg2Ga6Ru PBE relaxed" e_form_ev_per_atom=-0.168 volume_a3_per_atom=17.67 e_tot_ev_per_atom=-3.570 pbc="T T T"
Mg 1.547 0.000 0.438
Mg 7.722 0.000 5.959
Ga 3.860 1.352 2.080
Ga 5.409 1.352 4.317
Ga 3.071 0.000 4.312
Ga 6.198 0.000 2.085
Ga 3.860 -1.352 2.080
Ga 5.409 -1.352 4.317
Ru 4.639 0.000 0.000